# SrLiCa2Co

A relaxed structure of SrLiCa2Co (GGA-PBE, the Alexandria database).

* total magnetization: 0.05 μB/cell
* E_tot: -13.70 eV/cell
* E_form: 0.2004 eV per atom

Lattice parameters (Å, degrees): 5.4569 5.4569 5.7301 90.00 90.00 90.00
Space group P4/mmm (No. 123)
One atom of each set of equivalent atoms:
Sr  0.0000  0.0000  0.0000
Li  0.5000  0.5000  0.0000
Ca  0.0000  0.5000  0.5000
Co  0.0000  0.0000  0.5000


# LiCaTbCo

A relaxed structure of LiCaTbCo (GGA-PBE, the Alexandria database).

* total magnetization: 0.00 μB/cell
* E_tot: -60.76 eV/cell
* E_form: 0.1156 eV per atom

Lattice parameters (Å, degrees): 6.9805 6.9805 6.9805 90.00 90.00 90.00
Space group F-43m (No. 216)
One atom of each set of equivalent atoms:
Li  0.0000  0.0000  0.0000
Ca  0.2500  0.2500  0.7500
Tb  0.2500  0.2500  0.2500
Co  0.0000  0.0000  0.5000


# LiCaTmCo

A relaxed structure of LiCaTmCo (GGA-PBE, the Alexandria database).

* total magnetization: 0.00 μB/cell
* E_tot: -60.29 eV/cell
* E_form: 0.1052 eV per atom

Lattice parameters (Å, degrees): 6.9144 6.9144 6.9144 90.00 90.00 90.00
Space group F-43m (No. 216)
One atom of each set of equivalent atoms:
Li  0.0000  0.0000  0.0000
Ca  0.2500  0.2500  0.2500
Tm  0.2500  0.2500  0.7500
Co  0.0000  0.0000  0.5000


What is the E_tot in the first record? -13.70 eV/cell


Which value of E_tot does entry 1 give? -13.70 eV/cell


E_tot of number 1 (SrLiCa2Co)? -13.70 eV/cell


What is the total magnetization in the second record? 0.00 μB/cell